[1]
Entry from Alexandria via LeMat-Bulk: Nd3AuN after structural relaxation (PBE).

Calculated values
**Space group**: Pm-3m, No. 221
**Calculated total energy**: -29.78 eV per cell
**Spin magnetization**: 0.0 μB per formula unit

a = 4.9690 Å, b = 4.9690 Å, c = 4.9690 Å
α = 90.00°, β = 90.00°, γ = 90.00°
Closest atoms and distances in Å follow each position.
Positions (direct):
Au 0.5000 0.5000 0.5000  12 Nd 3.51
N 0.0000 0.0000 0.0000  6 Nd 2.48
Nd 0.0000 0.0000 0.5000  2 N 2.48
Nd 0.5000 0.0000 0.0000  2 N 2.48
Nd 0.0000 0.5000 0.0000  2 N 2.48



[2]
Entry from Alexandria via LeMat-Bulk: Nd2AuN2 after structural relaxation (PBE).

Calculated values
**Space group**: I4/mmm, No. 139
**Calculated total energy**: -34.72 eV per cell
**Spin magnetization**: 0.0 μB per formula unit

a = 3.6765 Å, b = 3.6765 Å, c = 7.0120 Å
α = 105.20°, β = 105.20°, γ = 90.00°
Closest atoms and distances in Å follow each position.
Positions (direct):
N 0.1633 0.1633 0.3267  1 Au 2.13, 1 Nd 2.38
N 0.8367 0.8367 0.6733  1 Au 2.13, 1 Nd 2.38
Au 0.0000 0.0000 0.0000  2 N 2.13
Nd 0.3459 0.3459 0.6917  5 N 2.38-2.60
Nd 0.6541 0.6541 0.3083  5 N 2.38-2.60



Which formula does entry 2 have? Nd2AuN2